Entry from the Alexandria database: a crystal of Nd4Cu3Ni relaxed with PBEsol (meta-GGA SCAN).

a = 5.5216 Å, b = 4.3925 Å, c = 7.2360 Å
α = 90.00°, β = 90.20°, γ = 90.00°
Last column: nearest neighbours and their distance in Å.
Space group Pm (No. 6)
Symmetry-distinct sites (fractional):
Nd: 0.0000 0.0000 0.0000 (multiplicity 1)  5 Cu 2.89-3.03, 2 Ni 3.02
Nd: 0.2444 0.0000 0.4878 (multiplicity 1)  5 Cu 2.86-3.09, 2 Ni 2.98
Nd: 0.4890 0.5000 0.8595 (multiplicity 1)  1 Ni 2.84, 6 Cu 2.93-3.07
Nd: 0.7477 0.5000 0.3507 (multiplicity 1)  2 Ni 2.89-3.00, 5 Cu 2.90-3.04
Cu: 0.4912 0.0000 0.1409 (multiplicity 1)  2 Ni 2.60, 2 Nd 2.86-2.89
Cu: 0.7525 0.0000 0.6414 (multiplicity 1)  2 Cu 2.58
Cu: 0.9812 0.5000 0.7109 (multiplicity 1)  2 Cu 2.58
Ni: 0.2573 0.5000 0.2096 (multiplicity 1)  2 Cu 2.60, 2 Nd 2.84-2.89

total magnetic moment	0.000	μB per formula unit
DFT formation energy	-0.245	eV per atom